[1]
The following is a DFT calculation (PBE) of TbCeI6 after structural relaxation.

Computed properties:
Energy relative to the elements, uncorrected ... -1313 meV/atom

```
data_TbCeI6
_symmetry_space_group_name_H-M 'R -3'
_symmetry_Int_Tables_number 148
_symmetry_space_group_name_Hall '-R 3'
_cell_length_a 7.7579
_cell_length_b 7.7579
_cell_length_c 21.1828
_cell_angle_alpha 90.00
_cell_angle_beta 90.00
_cell_angle_gamma 120.00
loop_
_atom_site_label
_atom_site_type_symbol
_atom_site_fract_x
_atom_site_fract_y
_atom_site_fract_z
_atom_site_occupancy
Tb1 Tb 0.0000 0.0000 0.0000 1
Ce1 Ce 0.0000 0.0000 0.5000 1
I1 I 0.0043 0.3264 0.0819 1
```

---

[2]
The following is a DFT calculation (PBE) of TbCeTeI after structural relaxation.

Computed properties:
Energy relative to the elements, uncorrected ... -959 meV/atom

```
data_TbCeTeI
_symmetry_space_group_name_H-M 'F -4 3 m'
_symmetry_Int_Tables_number 216
_symmetry_space_group_name_Hall 'F -4 2 3'
_cell_length_a 7.6615
_cell_length_b 7.6615
_cell_length_c 7.6615
_cell_angle_alpha 90.00
_cell_angle_beta 90.00
_cell_angle_gamma 90.00
loop_
_atom_site_label
_atom_site_type_symbol
_atom_site_fract_x
_atom_site_fract_y
_atom_site_fract_z
_atom_site_occupancy
Tb1 Tb 0.0000 0.0000 0.0000 1
Ce1 Ce 0.0000 0.0000 0.5000 1
Te1 Te 0.2500 0.2500 0.7500 1
I1 I 0.2500 0.2500 0.2500 1
```

---

[3]
The following is a DFT calculation (PBE) of Ce5TcI5 after structural relaxation.

Computed properties:
Energy relative to the elements, uncorrected ... -793 meV/atom

```
data_Ce5TcI5
_symmetry_space_group_name_H-M 'C 1 2/m 1'
_symmetry_Int_Tables_number 12
_cell_length_a 13.6996
_cell_length_b 6.2841
_cell_length_c 9.1112
_cell_angle_alpha 90.00
_cell_angle_beta 109.79
_cell_angle_gamma 90.00
loop_
_symmetry_equiv_pos_as_xyz
'x,y,z'
'-x,-y,-z'
'-x,y,-z'
'x,-y,z'
'x+1/2,y+1/2,z'
'-x+1/2,-y+1/2,-z'
'-x+1/2,y+1/2,-z'
'x+1/2,-y+1/2,z'
loop_
_atom_site_label
_atom_site_type_symbol
_atom_site_fract_x
_atom_site_fract_y
_atom_site_fract_z
_atom_site_occupancy
Ce1 Ce 0.0000 0.0000 0.0000 1
Ce2 Ce 0.1382 0.5000 0.2707 1
Ce3 Ce 0.1635 0.5000 0.8744 1
Tc1 Tc 0.0000 0.5000 0.0000 1
I1 I 0.0000 0.5000 0.5000 1
I2 I 0.1467 0.0000 0.7902 1
I3 I 0.1784 0.0000 0.3500 1
```

---

[4]
The following is a DFT calculation (PBE) of Ce5Tc2I2 after structural relaxation.

Computed properties:
Energy relative to the elements, uncorrected ... -404 meV/atom

```
data_Ce5Tc2I2
_symmetry_space_group_name_H-M 'C m c e'
_symmetry_Int_Tables_number 64
_symmetry_space_group_name_Hall '-C 2ac 2'
_cell_length_a 16.5571
_cell_length_b 8.3121
_cell_length_c 7.3464
_cell_angle_alpha 90.00
_cell_angle_beta 90.00
_cell_angle_gamma 90.00
loop_
_atom_site_label
_atom_site_type_symbol
_atom_site_fract_x
_atom_site_fract_y
_atom_site_fract_z
_atom_site_occupancy
Ce1 Ce 0.0000 0.0000 0.0000 1
Ce2 Ce 0.1090 0.1648 0.3592 1
Tc1 Tc 0.0000 0.1192 0.6746 1
I1 I 0.2064 0.0000 0.0000 1
```

---

[5]
The following is a DFT calculation (PBE) of Ce2TcI after structural relaxation.

Computed properties:
Energy relative to the elements, uncorrected ... -389 meV/atom

```
data_Ce2TcI
_symmetry_space_group_name_H-M 'P 4/m m m'
_symmetry_Int_Tables_number 123
_symmetry_space_group_name_Hall '-P 4 2'
_cell_length_a 3.5067
_cell_length_b 3.5067
_cell_length_c 8.3170
_cell_angle_alpha 90.00
_cell_angle_beta 90.00
_cell_angle_gamma 90.00
loop_
_atom_site_label
_atom_site_type_symbol
_atom_site_fract_x
_atom_site_fract_y
_atom_site_fract_z
_atom_site_occupancy
Ce1 Ce 0.0000 0.0000 0.2052 1
Tc1 Tc 0.5000 0.5000 0.0000 1
I1 I 0.5000 0.5000 0.5000 1
```

---

[6]
The following is a DFT calculation (PBE) of Ce3TcI after structural relaxation.

Computed properties:
Energy relative to the elements, uncorrected ... -273 meV/atom

```
data_Ce3TcI
_symmetry_space_group_name_H-M 'P m m n'
_symmetry_Int_Tables_number 59
_cell_length_a 4.0881
_cell_length_b 6.7597
_cell_length_c 10.1612
_cell_angle_alpha 90.00
_cell_angle_beta 90.00
_cell_angle_gamma 90.00
loop_
_symmetry_equiv_pos_as_xyz
'x,y,z'
'-x,-y,-z'
'-x+1/2,-y+1/2,z'
'x+1/2,y+1/2,-z'
'x+1/2,-y,-z'
'-x+1/2,y,z'
'-x,y+1/2,-z'
'x,-y+1/2,z'
loop_
_atom_site_label
_atom_site_type_symbol
_atom_site_fract_x
_atom_site_fract_y
_atom_site_fract_z
_atom_site_occupancy
Ce1 Ce 0.2500 0.0103 0.1463 1
Ce2 Ce 0.2500 0.2500 0.6054 1
Tc1 Tc 0.2500 0.2500 0.9034 1
I1 I 0.2500 0.7500 0.6419 1
```

---

[7]
The following is a DFT calculation (PBE) of Ce2TcI after structural relaxation.

Computed properties:
Energy relative to the elements, uncorrected ... -445 meV/atom

```
data_Ce2TcI
_symmetry_space_group_name_H-M 'R 3 m'
_symmetry_Int_Tables_number 160
_symmetry_space_group_name_Hall 'R 3 -2"'
_cell_length_a 4.0487
_cell_length_b 4.0487
_cell_length_c 24.1940
_cell_angle_alpha 90.00
_cell_angle_beta 90.00
_cell_angle_gamma 120.00
loop_
_atom_site_label
_atom_site_type_symbol
_atom_site_fract_x
_atom_site_fract_y
_atom_site_fract_z
_atom_site_occupancy
Ce1 Ce 0.0000 0.0000 0.0000 1
Ce2 Ce 0.0000 0.0000 0.2100 1
Tc1 Tc 0.0000 0.0000 0.6102 1
I1 I 0.0000 0.0000 0.4388 1
```

---

[8]
The following is a DFT calculation (PBE) of Ce2TcI after structural relaxation.

Computed properties:
Energy relative to the elements, uncorrected ... -453 meV/atom

```
data_Ce2TcI
_symmetry_space_group_name_H-M 'R -3 m'
_symmetry_Int_Tables_number 166
_symmetry_space_group_name_Hall '-R 3 2"'
_cell_length_a 4.0791
_cell_length_b 4.0791
_cell_length_c 23.9580
_cell_angle_alpha 90.00
_cell_angle_beta 90.00
_cell_angle_gamma 120.00
loop_
_atom_site_label
_atom_site_type_symbol
_atom_site_fract_x
_atom_site_fract_y
_atom_site_fract_z
_atom_site_occupancy
Ce1 Ce 0.0000 0.0000 0.2282 1
Tc1 Tc 0.0000 0.0000 0.5000 1
I1 I 0.0000 0.0000 0.0000 1
```

---

[9]
The following is a DFT calculation (PBE) of Ce7TcI12 after structural relaxation.

Computed properties:
Energy relative to the elements, uncorrected ... -1136 meV/atom

```
data_Ce7TcI12
_symmetry_space_group_name_H-M 'R -3'
_symmetry_Int_Tables_number 148
_symmetry_space_group_name_Hall '-R 3'
_cell_length_a 16.1795
_cell_length_b 16.1795
_cell_length_c 10.9390
_cell_angle_alpha 90.00
_cell_angle_beta 90.00
_cell_angle_gamma 120.00
loop_
_atom_site_label
_atom_site_type_symbol
_atom_site_fract_x
_atom_site_fract_y
_atom_site_fract_z
_atom_site_occupancy
Ce1 Ce 0.0000 0.0000 0.0000 1
Ce2 Ce 0.0431 0.1578 0.3525 1
Tc1 Tc 0.0000 0.0000 0.5000 1
I1 I 0.0221 0.5864 0.1623 1
I2 I 0.0509 0.1842 0.8372 1
```

---

[10]
The following is a DFT calculation (PBE) of CeTeI after structural relaxation.

Computed properties:
Energy relative to the elements, uncorrected ... -1245 meV/atom

```
data_CeTeI
_symmetry_space_group_name_H-M 'A e m 2'
_symmetry_Int_Tables_number 39
_cell_length_a 6.2402
_cell_length_b 8.9414
_cell_length_c 8.9422
_cell_angle_alpha 90.00
_cell_angle_beta 90.00
_cell_angle_gamma 90.00
loop_
_symmetry_equiv_pos_as_xyz
'x,y,z'
'-x,-y,z'
'-x,y+1/2,z'
'x,-y+1/2,z'
'x,y+1/2,z+1/2'
'-x,-y+1/2,z+1/2'
'-x,y,z+1/2'
'x,-y,z+1/2'
loop_
_atom_site_label
_atom_site_type_symbol
_atom_site_fract_x
_atom_site_fract_y
_atom_site_fract_z
_atom_site_occupancy
Ce1 Ce 0.0019 0.2500 0.0000 1
Te1 Te 0.0000 0.0000 0.2500 1
I1 I 0.4983 0.2500 0.4991 1
```

---

[11]
The following is a DFT calculation (PBE) of Ce4TeI5 after structural relaxation.

Computed properties:
Energy relative to the elements, uncorrected ... -1180 meV/atom

```
data_Ce4TeI5
_symmetry_space_group_name_H-M 'C 1 2/m 1'
_symmetry_Int_Tables_number 12
_cell_length_a 19.2610
_cell_length_b 4.3010
_cell_length_c 9.3394
_cell_angle_alpha 90.00
_cell_angle_beta 100.72
_cell_angle_gamma 90.00
loop_
_symmetry_equiv_pos_as_xyz
'x,y,z'
'-x,-y,-z'
'-x,y,-z'
'x,-y,z'
'x+1/2,y+1/2,z'
'-x+1/2,-y+1/2,-z'
'-x+1/2,y+1/2,-z'
'x+1/2,-y+1/2,z'
loop_
_atom_site_label
_atom_site_type_symbol
_atom_site_fract_x
_atom_site_fract_y
_atom_site_fract_z
_atom_site_occupancy
Ce1 Ce 0.0010 0.0000 0.2326 1
Ce2 Ce 0.1644 0.5000 0.0645 1
Te1 Te 0.0000 0.5000 0.0000 1
I1 I 0.0000 0.5000 0.5000 1
I2 I 0.1683 0.0000 0.8041 1
I3 I 0.1690 0.0000 0.3261 1
```

---

| no. | Fermi-level density of states (states/eV per cell) |
| --- | --- |
| 1 | 24.76 |
| 2 | 33.63 |
| 3 | 67.17 |
| 4 | 93.29 |
| 5 | 8.49 |
| 6 | 27.40 |
| 7 | 17.82 |
| 8 | 18.83 |
| 9 | 140.93 |
| 10 | 28.92 |
| 11 | 55.02 |